No. 1
Computed, not measured: a relaxed DyTmInNi crystal at the PBE level of DFT.

Results
The formation energy from the elements comes out at -0.33 eV per atom.

abc: 7.152 7.152 7.152
angles: 90.00 90.00 90.00
Space group F-43m (No. 216)
Unique sites:
Dy  0.000  0.000  0.000
Tm  0.000  0.000  0.500
In  0.250  0.250  0.750
Ni  0.250  0.250  0.250


No. 2
Computed, not measured: a relaxed BaIn2Te crystal at the PBE level of DFT.

Results
Its formation energy from raw total energies is -616 meV per atom.

abc: 4.887 4.494 6.424
angles: 90.00 95.92 90.00
Space group Pm (No. 6)
Unique sites:
Ba  0.000  0.000  0.000
In  0.059  0.500  0.438
In  0.555  0.000  0.444
Te  0.471  0.500  0.830


No. 3
Computed, not measured: a relaxed PmSc3Rh crystal at the PBE level of DFT.

Results
The formation energy from the elements comes out at -0.28 eV per atom.

abc: 5.087 5.087 5.087
angles: 90.00 90.00 90.00
Space group Pm-3m (No. 221)
Unique sites:
Pm  0.000  0.000  0.000
Sc  0.000  0.500  0.500
Rh  0.500  0.500  0.500